No. 1
# IrRuCl2, optimized geometry, DFT GGA-PBEsol
# total magnetization	0.0	μB/f.u.
# formation energy without anion corrections	0.732	eV per atom
# distance to the lowest polymorph of the same formula	153	meV/atom
# mass density	10.2	g/cm3
# energy	-0.19372	hartree per atom
data_IrRuCl2
_space_group_name_H-M_alt 'P m m m'
_space_group_IT_number 47
_space_group_name_Hall '-P 2 2'
_cell_length_a 2.784
_cell_length_b 4.102
_cell_length_c 5.196
_cell_angle_alpha 90.00
_cell_angle_beta 90.00
_cell_angle_gamma 90.00
loop_
_atom_site_label
_atom_site_type_symbol
_atom_site_fract_x
_atom_site_fract_y
_atom_site_fract_z
Ir1 Ir 0.000 0.000 0.000
Ru1 Ru 0.500 0.000 0.500
Cl1 Cl 0.000 0.500 0.500
Cl2 Cl 0.500 0.500 0.000

No. 2
# LiNi5, optimized geometry, DFT GGA-PBEsol
# total magnetization	2.6	μB/f.u.
# formation energy from the elements	38	meV per atom
# distance to the lowest polymorph of the same formula	14	meV/atom
# mass density	8.0	g/cm3
# energy	-0.19921	hartree per atom
data_LiNi5
_space_group_name_H-M_alt 'A m m 2'
_space_group_IT_number 38
_space_group_name_Hall 'A 2 -2'
_cell_length_a 4.006
_cell_length_b 2.432
_cell_length_c 12.806
_cell_angle_alpha 90.00
_cell_angle_beta 90.00
_cell_angle_gamma 90.00
loop_
_atom_site_label
_atom_site_type_symbol
_atom_site_fract_x
_atom_site_fract_y
_atom_site_fract_z
Li1 Li 0.000 0.000 0.000
Ni1 Ni 0.000 0.000 0.332
Ni2 Ni 0.000 0.000 0.668
Ni3 Ni 0.500 0.000 0.109
Ni4 Ni 0.500 0.000 0.443
Ni5 Ni 0.500 0.000 0.778

No. 3
# AlHIO2, optimized geometry, DFT GGA-PBEsol
# total magnetization	0.6	μB/f.u.
# mass density	3.9	g/cm3
# energy	-0.17157	hartree per atom
data_AlHIO2
_space_group_name_H-M_alt 'P 4/m m m'
_space_group_IT_number 123
_space_group_name_Hall '-P 4 2'
_cell_length_a 3.483
_cell_length_b 3.483
_cell_length_c 6.518
_cell_angle_alpha 90.00
_cell_angle_beta 90.00
_cell_angle_gamma 90.00
loop_
_atom_site_label
_atom_site_type_symbol
_atom_site_fract_x
_atom_site_fract_y
_atom_site_fract_z
Al1 Al 0.000 0.000 0.000
H1 H 0.500 0.500 0.500
I1 I 0.000 0.000 0.500
O1 O 0.000 0.500 0.000

No. 4
# K2FePt, optimized geometry, DFT GGA-PBEsol
# total magnetization	3.0	μB/f.u.
# formation energy from the elements	786	meV per atom
# distance to the lowest polymorph of the same formula	0	meV/atom
# mass density	6.5	g/cm3
# energy	-0.13828	hartree per atom
data_K2FePt
_space_group_name_H-M_alt 'P 4/m m m'
_space_group_IT_number 123
_space_group_name_Hall '-P 4 2'
_cell_length_a 3.990
_cell_length_b 3.990
_cell_length_c 5.273
_cell_angle_alpha 90.00
_cell_angle_beta 90.00
_cell_angle_gamma 90.00
loop_
_atom_site_label
_atom_site_type_symbol
_atom_site_fract_x
_atom_site_fract_y
_atom_site_fract_z
K1 K 0.000 0.500 0.000
Fe1 Fe 0.000 0.000 0.500
Pt1 Pt 0.500 0.500 0.500

No. 5
# In4Ag3Ge4Se16, optimized geometry, DFT GGA-PBEsol
# total magnetization	0.0	μB/f.u.
# formation energy without anion corrections	-0.268	eV per atom
# mass density	5.5	g/cm3
# energy	-0.15035	hartree per atom
data_In4Ag3Ge4Se16
_space_group_name_H-M_alt 'I -4'
_space_group_IT_number 82
_space_group_name_Hall 'I -4'
_cell_length_a 8.000
_cell_length_b 8.000
_cell_length_c 21.884
_cell_angle_alpha 90.00
_cell_angle_beta 90.00
_cell_angle_gamma 90.00
loop_
_atom_site_label
_atom_site_type_symbol
_atom_site_fract_x
_atom_site_fract_y
_atom_site_fract_z
In1 In 0.242 0.252 0.122
Ag1 Ag 0.000 0.000 0.256
Ag2 Ag 0.000 0.000 0.500
Ge1 Ge 0.000 0.500 0.000
Ge2 Ge 0.000 0.500 0.250
Ge3 Ge 0.000 0.500 0.750
Se1 Se 0.022 0.757 0.053
Se2 Se 0.027 0.258 0.814
Se3 Se 0.032 0.738 0.567
Se4 Se 0.037 0.269 0.318

No. 6
# KSrCu, optimized geometry, DFT GGA-PBEsol
# total magnetization	0.0	μB/f.u.
# formation energy from the elements	662	meV per atom
# mass density	2.9	g/cm3
# energy	-0.06519	hartree per atom
data_KSrCu
_space_group_name_H-M_alt 'F -4 3 m'
_space_group_IT_number 216
_space_group_name_Hall 'F -4 2 3'
_cell_length_a 7.593
_cell_length_b 7.593
_cell_length_c 7.593
_cell_angle_alpha 90.00
_cell_angle_beta 90.00
_cell_angle_gamma 90.00
loop_
_atom_site_label
_atom_site_type_symbol
_atom_site_fract_x
_atom_site_fract_y
_atom_site_fract_z
K1 K 0.000 0.000 0.000
Sr1 Sr 0.250 0.250 0.750
Cu1 Cu 0.000 0.000 0.500

No. 7
# RbZrMo3, optimized geometry, DFT GGA-PBEsol
# total magnetization	0.0	μB/f.u.
# formation energy from the elements	2818	meV per atom
# mass density	7.8	g/cm3
# energy	-0.23025	hartree per atom
data_RbZrMo3
_space_group_name_H-M_alt 'P m -3 m'
_space_group_IT_number 221
_space_group_name_Hall '-P 4 2 3'
_cell_length_a 4.626
_cell_length_b 4.626
_cell_length_c 4.626
_cell_angle_alpha 90.00
_cell_angle_beta 90.00
_cell_angle_gamma 90.00
loop_
_atom_site_label
_atom_site_type_symbol
_atom_site_fract_x
_atom_site_fract_y
_atom_site_fract_z
Rb1 Rb 0.000 0.000 0.000
Zr1 Zr 0.500 0.500 0.500
Mo1 Mo 0.000 0.000 0.500

No. 8
# SrMn2Tc, optimized geometry, DFT GGA-PBEsol
# total magnetization	5.2	μB/f.u.
# formation energy from the elements	629	meV per atom
# distance to the lowest polymorph of the same formula	0	meV/atom
# mass density	6.9	g/cm3
# energy	-0.27666	hartree per atom
data_SrMn2Tc
_space_group_name_H-M_alt 'P 4/m m m'
_space_group_IT_number 123
_space_group_name_Hall '-P 4 2'
_cell_length_a 3.059
_cell_length_b 3.059
_cell_length_c 7.574
_cell_angle_alpha 90.00
_cell_angle_beta 90.00
_cell_angle_gamma 90.00
loop_
_atom_site_label
_atom_site_type_symbol
_atom_site_fract_x
_atom_site_fract_y
_atom_site_fract_z
Sr1 Sr 0.000 0.000 0.000
Mn1 Mn 0.500 0.500 0.323
Tc1 Tc 0.000 0.000 0.500

Number 5 is which compound?
In4Ag3Ge4Se16

Among the records above, which one has the highest mass density?
IrRuCl2